# 1
The following is a DFT calculation (GGA-PBE) of Pr6Dy3Tm2 after structural relaxation.

Summary:
As for the formation energy: 301 meV per atom. The space group is I4/mmm, No. 139. The distance to the lowest polymorph of the same formula is 0.219 eV per atom. The size of the total moment comes out at 0.0 μB/f.u.

Cell lengths 17.4414, 17.4414, 17.4414 Å; angles 164.30, 164.30, 22.27 degrees
Fractional coordinates of all 11 atoms:
Pr: 0.1187 0.6187 0.5000
Pr: 0.2072 0.2072 0.0000
Pr: 0.3813 0.8813 0.5000
Pr: 0.6187 0.1187 0.5000
Pr: 0.7928 0.7928 0.0000
Pr: 0.8813 0.3813 0.5000
Dy: 0.3075 0.3075 0.0000
Dy: 0.5000 0.5000 0.0000
Dy: 0.6925 0.6925 0.0000
Tm: 0.0446 0.0446 0.0000
Tm: 0.9554 0.9554 0.0000


# 2
The following is a DFT calculation (GGA-PBE) of PrDy9Tm2 after structural relaxation.

Summary:
As for the formation energy: 24 meV per atom. The space group is P4/mmm, No. 123. The distance to the lowest polymorph of the same formula is 0.000 eV per atom. The size of the total moment comes out at 0.0 μB/f.u.

Cell lengths 5.0163, 5.0163, 15.0564 Å; angles 90.00, 90.00, 90.00 degrees
Fractional coordinates of all 12 atoms:
Pr: 0.0000 0.0000 0.0000
Dy: 0.0000 0.5000 0.1701
Dy: 0.0000 0.5000 0.5000
Dy: 0.0000 0.5000 0.8299
Dy: 0.5000 0.0000 0.1701
Dy: 0.5000 0.0000 0.5000
Dy: 0.5000 0.0000 0.8299
Dy: 0.5000 0.5000 0.0000
Dy: 0.5000 0.5000 0.3358
Dy: 0.5000 0.5000 0.6642
Tm: 0.0000 0.0000 0.3350
Tm: 0.0000 0.0000 0.6650


# 3
The following is a DFT calculation (GGA-PBE) of Pr4Dy3Tm5 after structural relaxation.

Summary:
As for the formation energy: 230 meV per atom. The space group is C2/m, No. 12. The size of the total moment comes out at 0.5 μB/f.u.

Cell lengths 8.5767, 8.5767, 9.4320 Å; angles 115.56, 115.56, 40.50 degrees
Fractional coordinates of all 12 atoms:
Pr: 0.0872 0.0872 0.4505
Pr: 0.2165 0.2165 0.8859
Pr: 0.7835 0.7835 0.1141
Pr: 0.9128 0.9128 0.5495
Dy: 0.2168 0.2168 0.2439
Dy: 0.5000 0.5000 0.0000
Dy: 0.7832 0.7832 0.7561
Tm: 0.0000 0.0000 0.0000
Tm: 0.3312 0.3312 0.6241
Tm: 0.4320 0.4320 0.2965
Tm: 0.5680 0.5680 0.7035
Tm: 0.6688 0.6688 0.3759


# 4
The following is a DFT calculation (GGA-PBE) of Pr8Dy3Tm after structural relaxation.

Summary:
As for the formation energy: 109 meV per atom. The space group is C2/m, No. 12. The size of the total moment comes out at 0.0 μB/f.u.

Cell lengths 7.0113, 7.0113, 9.9208 Å; angles 97.16, 97.16, 119.07 degrees
Fractional coordinates of all 12 atoms:
Pr: 0.1782 0.6833 0.6656
Pr: 0.1833 0.1833 0.1636
Pr: 0.3167 0.8218 0.3344
Pr: 0.3178 0.3178 0.8314
Pr: 0.6822 0.6822 0.1686
Pr: 0.6833 0.1782 0.6656
Pr: 0.8167 0.8167 0.8364
Pr: 0.8218 0.3167 0.3344
Dy: 0.0000 0.5000 0.0000
Dy: 0.5000 0.0000 0.0000
Dy: 0.5000 0.5000 0.5000
Tm: 0.0000 0.0000 0.5000


# 5
The following is a DFT calculation (GGA-PBE) of Pr10DyTm6 after structural relaxation.

Summary:
As for the formation energy: 128 meV per atom. The space group is P-31m, No. 162. The size of the total moment comes out at 0.0 μB/f.u.

Cell lengths 9.8685, 9.8685, 6.9192 Å; angles 90.00, 90.00, 120.00 degrees
Fractional coordinates of all 17 atoms:
Pr: 0.0000 0.2768 0.3194
Pr: 0.0000 0.7232 0.6806
Pr: 0.2768 0.0000 0.3194
Pr: 0.2768 0.2768 0.6806
Pr: 0.3333 0.6667 0.0000
Pr: 0.3333 0.6667 0.5000
Pr: 0.6667 0.3333 0.0000
Pr: 0.6667 0.3333 0.5000
Pr: 0.7232 0.0000 0.6806
Pr: 0.7232 0.7232 0.3194
Dy: 0.0000 0.0000 0.0000
Tm: 0.0000 0.3652 0.8182
Tm: 0.0000 0.6348 0.1818
Tm: 0.3652 0.0000 0.8182
Tm: 0.3652 0.3652 0.1818
Tm: 0.6348 0.0000 0.1818
Tm: 0.6348 0.6348 0.8182


# 6
The following is a DFT calculation (GGA-PBE) of Pr5Dy3Tm2 after structural relaxation.

Summary:
As for the formation energy: 171 meV per atom. The space group is C2/c, No. 15. The size of the total moment comes out at 0.0 μB/f.u.

Cell lengths 9.1922, 9.1922, 10.0803 Å; angles 108.20, 108.20, 108.36 degrees
Fractional coordinates of all 20 atoms:
Pr: 0.0182 0.9818 0.7500
Pr: 0.1226 0.3832 0.7590
Pr: 0.2281 0.7719 0.7500
Pr: 0.3832 0.1226 0.2590
Pr: 0.4772 0.5228 0.2500
Pr: 0.5228 0.4772 0.7500
Pr: 0.6168 0.8774 0.7410
Pr: 0.7719 0.2281 0.2500
Pr: 0.8774 0.6168 0.2410
Pr: 0.9818 0.0182 0.2500
Dy: 0.2198 0.4698 0.4419
Dy: 0.2716 0.7284 0.2500
Dy: 0.4698 0.2198 0.9419
Dy: 0.5302 0.7802 0.0581
Dy: 0.7284 0.2716 0.7500
Dy: 0.7802 0.5302 0.5581
Tm: 0.0242 0.2822 0.0588
Tm: 0.2822 0.0242 0.5588
Tm: 0.7178 0.9758 0.4412
Tm: 0.9758 0.7178 0.9412


# 7
The following is a DFT calculation (GGA-PBE) of Pr6Dy2Tm after structural relaxation.

Summary:
As for the formation energy: 81 meV per atom. The space group is C2/c, No. 15. The distance to the lowest polymorph of the same formula is 0.000 eV per atom. The size of the total moment comes out at 0.0 μB/f.u.

Cell lengths 10.2053, 10.2053, 6.2929 Å; angles 95.12, 95.12, 71.57 degrees
Fractional coordinates of all 18 atoms:
Pr: 0.0920 0.8115 0.9863
Pr: 0.1462 0.4259 0.1524
Pr: 0.1885 0.9080 0.5137
Pr: 0.2428 0.5228 0.6801
Pr: 0.4259 0.1462 0.6524
Pr: 0.4772 0.7572 0.8199
Pr: 0.5228 0.2428 0.1801
Pr: 0.5741 0.8538 0.3476
Pr: 0.7572 0.4772 0.3199
Pr: 0.8115 0.0920 0.4863
Pr: 0.8538 0.5741 0.8476
Pr: 0.9080 0.1885 0.0137
Dy: 0.0665 0.2680 0.5825
Dy: 0.2680 0.0665 0.0825
Dy: 0.7320 0.9335 0.9175
Dy: 0.9335 0.7320 0.4175
Tm: 0.3988 0.6012 0.2500
Tm: 0.6012 0.3988 0.7500


# 8
The following is a DFT calculation (GGA-PBE) of Pr3Dy3Tm2 after structural relaxation.

Summary:
As for the formation energy: 81 meV per atom. The space group is C2/m, No. 12. The distance to the lowest polymorph of the same formula is 0.055 eV per atom. The size of the total moment comes out at 0.0 μB/f.u.

Cell lengths 8.7210, 8.7210, 6.0036 Å; angles 109.17, 109.17, 38.33 degrees
Fractional coordinates of all 8 atoms:
Pr: 0.0000 0.0000 0.0000
Pr: 0.1360 0.1360 0.6968
Pr: 0.8640 0.8640 0.3032
Dy: 0.3662 0.3662 0.9174
Dy: 0.5000 0.5000 0.5000
Dy: 0.6338 0.6338 0.0826
Tm: 0.2502 0.2502 0.3180
Tm: 0.7498 0.7498 0.6820


# 9
The following is a DFT calculation (GGA-PBE) of PrDy7Tm3 after structural relaxation.

Summary:
As for the formation energy: 200 meV per atom. The space group is P3m1, No. 156. The distance to the lowest polymorph of the same formula is 0.057 eV per atom. The size of the total moment comes out at 0.0 μB/f.u.

Cell lengths 7.0442, 7.0442, 8.5583 Å; angles 90.00, 90.00, 120.00 degrees
Fractional coordinates of all 11 atoms:
Pr: 0.0000 0.0000 0.0000
Dy: 0.0029 0.5015 0.9943
Dy: 0.3308 0.1654 0.3309
Dy: 0.3333 0.6667 0.3257
Dy: 0.4985 0.5015 0.9943
Dy: 0.4985 0.9971 0.9943
Dy: 0.8346 0.1654 0.3309
Dy: 0.8346 0.6692 0.3309
Tm: 0.1675 0.3350 0.6603
Tm: 0.1675 0.8325 0.6603
Tm: 0.6650 0.8325 0.6603


# 10
The following is a DFT calculation (GGA-PBE) of Pr3Dy2Tm5 after structural relaxation.

Summary:
As for the formation energy: 191 meV per atom. The space group is C2/c, No. 15. The size of the total moment comes out at 0.0 μB/f.u.

Cell lengths 9.6198, 9.6198, 9.3672 Å; angles 108.14, 108.14, 113.11 degrees
Fractional coordinates of all 20 atoms:
Pr: 0.0222 0.2695 0.0457
Pr: 0.2357 0.7643 0.7500
Pr: 0.2695 0.0222 0.5457
Pr: 0.7305 0.9778 0.4543
Pr: 0.7643 0.2357 0.2500
Pr: 0.9778 0.7305 0.9543
Dy: 0.2340 0.4663 0.4523
Dy: 0.4663 0.2340 0.9523
Dy: 0.5337 0.7660 0.0477
Dy: 0.7660 0.5337 0.5477
Tm: 0.0269 0.9731 0.7500
Tm: 0.1478 0.3675 0.7647
Tm: 0.2721 0.7279 0.2500
Tm: 0.3675 0.1478 0.2647
Tm: 0.4712 0.5288 0.2500
Tm: 0.5288 0.4712 0.7500
Tm: 0.6325 0.8522 0.7353
Tm: 0.7279 0.2721 0.7500
Tm: 0.8522 0.6325 0.2353
Tm: 0.9731 0.0269 0.2500


# 11
The following is a DFT calculation (GGA-PBE) of PrDy6Tm3 after structural relaxation.

Summary:
As for the formation energy: 268 meV per atom. The space group is R3, No. 146. The distance to the lowest polymorph of the same formula is 0.117 eV per atom. The size of the total moment comes out at 0.0 μB/f.u.

Cell lengths 6.8632, 6.8632, 6.8632 Å; angles 90.60, 90.60, 90.60 degrees
Fractional coordinates of all 10 atoms:
Pr: 0.0000 0.0000 0.0000
Dy: 0.0021 0.3357 0.6657
Dy: 0.1693 0.8325 0.5025
Dy: 0.3357 0.6657 0.0021
Dy: 0.5025 0.1693 0.8325
Dy: 0.6657 0.0021 0.3357
Dy: 0.8325 0.5025 0.1693
Tm: 0.2524 0.2524 0.2524
Tm: 0.4990 0.4990 0.4990
Tm: 0.7443 0.7443 0.7443


# 12
The following is a DFT calculation (GGA-PBE) of PrDy12Tm2 after structural relaxation.

Summary:
As for the formation energy: 112 meV per atom. The space group is C2/m, No. 12. The size of the total moment comes out at 0.0 μB/f.u.

Cell lengths 6.5914, 6.5914, 24.4005 Å; angles 92.26, 92.26, 114.82 degrees
Fractional coordinates of all 30 atoms:
Pr: 0.2487 0.2487 0.4963
Pr: 0.7513 0.7513 0.5037
Dy: 0.0589 0.5404 0.7028
Dy: 0.0683 0.5932 0.8302
Dy: 0.1313 0.6481 0.0550
Dy: 0.1575 0.1575 0.0671
Dy: 0.2147 0.2147 0.3562
Dy: 0.2326 0.7318 0.4245
Dy: 0.2682 0.7674 0.5755
Dy: 0.2820 0.2820 0.6340
Dy: 0.3519 0.8687 0.9450
Dy: 0.3546 0.3546 0.9130
Dy: 0.4068 0.9317 0.1698
Dy: 0.4596 0.9411 0.2972
Dy: 0.5404 0.0589 0.7028
Dy: 0.5932 0.0683 0.8302
Dy: 0.6454 0.6454 0.0870
Dy: 0.6481 0.1313 0.0550
Dy: 0.7180 0.7180 0.3660
Dy: 0.7318 0.2326 0.4245
Dy: 0.7674 0.2682 0.5755
Dy: 0.7853 0.7853 0.6438
Dy: 0.8425 0.8425 0.9329
Dy: 0.8687 0.3519 0.9450
Dy: 0.9317 0.4068 0.1698
Dy: 0.9411 0.4596 0.2972
Tm: 0.0758 0.0758 0.7715
Tm: 0.4424 0.4424 0.2293
Tm: 0.5576 0.5576 0.7707
Tm: 0.9242 0.9242 0.2285


no.,calculated total energy (eV for the cell shown)
1,-48.12
2,-54.86
3,-52.52
4,-55.21
5,-77.05
6,-89.87
7,-83.24
8,-36.44
9,-48.21
10,-87.97
11,-43.12
12,-134.54